{
  "formula": "LiTl2NiOs",
  "functional": "PBE-GGA",
  "state": "optimized geometry",
  "delta_e_f_ev_per_atom": 1.2226,
  "magmom_total_mub_per_atom": 0.201,
  "spacegroup": "P4/mmm (123)",
  "lattice_angstrom": [[4.735, 0.000, 0.000], [0.000, 4.735, 0.000], [0.000, 0.000, 3.959]],
  "species": ["Li", "Tl", "Tl", "Ni", "Os"],
  "frac_coords": [[0.000, 0.000, 0.000], [0.000, 0.500, 0.000], [0.500, 0.000, 0.000], [0.000, 0.000, 0.500], [0.500, 0.500, 0.500]]
}